Entry 1:
{"formula": "Mg4B6Ir7", "functional": "PBE", "state": "relaxed", "lattice": [[-3.8243, 3.8243, 3.8243], [3.8243, -3.8243, 3.8243], [3.8243, 3.8243, -3.8243]], "species": ["Mg", "Mg", "Mg", "Mg", "B", "B", "B", "B", "B", "B", "Ir", "Ir", "Ir", "Ir", "Ir", "Ir", "Ir"], "fractional_positions": [[0.0000, 0.0000, 0.5000], [0.0000, 0.5000, 0.0000], [0.5000, 0.0000, 0.0000], [0.5000, 0.5000, 0.5000], [0.0000, 0.3486, 0.3486], [0.0000, 0.6514, 0.6514], [0.3486, 0.0000, 0.3486], [0.3486, 0.3486, 0.0000], [0.6514, 0.0000, 0.6514], [0.6514, 0.6514, 0.0000], [0.0000, 0.0000, 0.0000], [0.2500, 0.5000, 0.7500], [0.2500, 0.7500, 0.5000], [0.5000, 0.2500, 0.7500], [0.5000, 0.7500, 0.2500], [0.7500, 0.2500, 0.5000], [0.7500, 0.5000, 0.2500]], "n_ef_per_ev_atom": 0.340, "spacegroup": "No. 229", "formation_energy_ev_per_fu": -0.28}

=====

Entry 2:
{"formula": "PuZnGe2O8", "functional": "PBE", "state": "relaxed", "lattice": [[-3.3957, 3.3957, 3.2305], [3.3957, -3.3957, 3.2305], [3.3957, 3.3957, -3.2305]], "species": ["Pu", "Zn", "Ge", "Ge", "O", "O", "O", "O", "O", "O", "O", "O"], "fractional_positions": [[0.0000, 0.0000, 0.0000], [0.7500, 0.2500, 0.5000], [0.2500, 0.7500, 0.5000], [0.5000, 0.5000, 0.0000], [0.0708, 0.3760, 0.3051], [0.0708, 0.7657, 0.6949], [0.1187, 0.3089, 0.8098], [0.2343, 0.9292, 0.3051], [0.4991, 0.3089, 0.1902], [0.6240, 0.9292, 0.6949], [0.6911, 0.5009, 0.8098], [0.6911, 0.8813, 0.1902]], "n_ef_per_ev_atom": 0.504, "spacegroup": "No. 119", "formation_energy_uncorrected_ev_per_atom": -1.650}

=====

Entry 3:
{"formula": "PrEr4In", "functional": "PBE", "state": "relaxed", "lattice": [[3.5727, 0.0000, 0.0000], [0.0000, 3.5727, 0.0000], [0.0000, 0.0000, 14.2115]], "species": ["Pr", "Er", "Er", "Er", "Er", "In"], "fractional_positions": [[0.0000, 0.0000, 0.0000], [0.0000, 0.0000, 0.3542], [0.0000, 0.0000, 0.6458], [0.5000, 0.5000, 0.1812], [0.5000, 0.5000, 0.8188], [0.5000, 0.5000, 0.5000]], "n_ef_per_ev_atom": 1.083, "de_polymorph_ev_per_fu": 0.00, "spacegroup": "No. 123", "formation_energy_ev_per_fu": -0.87}

=====

Entry 4:
{"formula": "TiNb3Cl7O2", "functional": "PBE", "state": "relaxed", "lattice": [[6.3670, -7.4647, 0.0000], [6.3670, 7.4647, 0.0000], [-1.3084, 0.0000, 12.7564]], "species": ["Ti", "Ti", "Ti", "Ti", "Nb", "Nb", "Nb", "Nb", "Nb", "Nb", "Nb", "Nb", "Nb", "Nb", "Nb", "Nb", "Cl", "Cl", "Cl", "Cl", "Cl", "Cl", "Cl", "Cl", "Cl", "Cl", "Cl", "Cl", "Cl", "Cl", "Cl", "Cl", "Cl", "Cl", "Cl", "Cl", "Cl", "Cl", "Cl", "Cl", "Cl", "Cl", "Cl", "Cl", "O", "O", "O", "O", "O", "O", "O", "O"], "fractional_positions": [[0.0000, 0.0000, 0.0000], [0.0000, 0.0000, 0.5000], [0.1098, 0.8902, 0.7500], [0.8902, 0.1098, 0.2500], [0.0739, 0.3359, 0.4391], [0.0962, 0.6364, 0.3937], [0.1740, 0.5551, 0.6079], [0.3359, 0.0739, 0.9391], [0.3636, 0.9038, 0.1063], [0.4449, 0.8260, 0.8921], [0.5551, 0.1740, 0.1079], [0.6364, 0.0962, 0.8937], [0.6641, 0.9261, 0.0609], [0.8260, 0.4449, 0.3921], [0.9038, 0.3636, 0.6063], [0.9261, 0.6641, 0.5609], [0.0247, 0.2133, 0.1146], [0.0870, 0.4176, 0.7487], [0.0961, 0.1244, 0.8529], [0.1244, 0.0961, 0.3529], [0.2071, 0.7929, 0.2500], [0.2089, 0.4535, 0.3042], [0.2133, 0.0247, 0.6146], [0.2906, 0.6820, 0.0012], [0.2976, 0.3648, 0.5473], [0.3180, 0.7094, 0.4988], [0.3648, 0.2976, 0.0473], [0.3839, 0.6161, 0.7500], [0.4176, 0.0870, 0.2487], [0.4535, 0.2089, 0.8042], [0.5465, 0.7911, 0.1958], [0.5824, 0.9130, 0.7513], [0.6161, 0.3839, 0.2500], [0.6352, 0.7024, 0.9527], [0.6820, 0.2906, 0.5012], [0.7024, 0.6352, 0.4527], [0.7094, 0.3180, 0.9988], [0.7867, 0.9753, 0.3854], [0.7911, 0.5465, 0.6958], [0.7929, 0.2071, 0.7500], [0.8756, 0.9039, 0.6471], [0.9039, 0.8756, 0.1471], [0.9130, 0.5824, 0.2513], [0.9753, 0.7867, 0.8854], [0.0196, 0.8035, 0.4599], [0.0979, 0.7223, 0.6706], [0.1965, 0.9804, 0.0401], [0.2777, 0.9021, 0.8294], [0.7223, 0.0979, 0.1706], [0.8035, 0.0196, 0.9599], [0.9021, 0.2777, 0.3294], [0.9804, 0.1965, 0.5401]], "n_ef_per_ev_atom": 0.238, "spacegroup": "No. 15", "formation_energy_uncorrected_ev_per_atom": -1.676}

=====

Entry 5:
{"formula": "Tb2ErCo2", "functional": "PBE", "state": "relaxed", "lattice": [[5.4956, -1.9390, 0.0000], [5.4956, 1.9390, 0.0000], [-3.1664, 0.0000, 5.1694]], "species": ["Tb", "Tb", "Er", "Co", "Co"], "fractional_positions": [[0.1932, 0.1932, 0.1856], [0.8068, 0.8068, 0.8144], [0.0000, 0.0000, 0.5000], [0.4823, 0.4823, 0.1708], [0.5177, 0.5177, 0.8292]], "n_ef_per_ev_atom": 0.861, "de_polymorph_ev_per_fu": 0.00, "spacegroup": "No. 12", "formation_energy_ev_per_fu": -0.79}

=====

Entry 6:
{"formula": "CdGa6Cl12", "functional": "PBE", "state": "relaxed", "lattice": [[9.5629, 5.5212, 1.9363], [-9.5629, 5.5212, 1.9363], [0.0000, -11.0423, 1.9363]], "species": ["Cd", "Ga", "Ga", "Ga", "Ga", "Ga", "Ga", "Cl", "Cl", "Cl", "Cl", "Cl", "Cl", "Cl", "Cl", "Cl", "Cl", "Cl", "Cl"], "fractional_positions": [[0.0000, 0.0000, 0.0000], [0.0918, 0.2737, 0.3273], [0.2737, 0.3273, 0.0918], [0.3273, 0.0918, 0.2737], [0.6727, 0.9082, 0.7263], [0.7263, 0.6727, 0.9082], [0.9082, 0.7263, 0.6727], [0.0984, 0.1936, 0.7782], [0.1936, 0.7782, 0.0984], [0.2218, 0.9016, 0.8064], [0.3067, 0.6482, 0.5426], [0.3518, 0.4574, 0.6933], [0.4574, 0.6933, 0.3518], [0.5426, 0.3067, 0.6482], [0.6482, 0.5426, 0.3067], [0.6933, 0.3518, 0.4574], [0.7782, 0.0984, 0.1936], [0.8064, 0.2218, 0.9016], [0.9016, 0.8064, 0.2218]], "spacegroup": "No. 148", "formation_energy_uncorrected_ev_per_atom": -0.811}

=====

Entry 7:
{"formula": "CdRe2H", "functional": "PBE", "state": "relaxed", "lattice": [[0.0000, 3.0491, 3.0491], [3.0491, 0.0000, 3.0491], [3.0491, 3.0491, 0.0000]], "species": ["Cd", "Re", "Re", "H"], "fractional_positions": [[0.0000, 0.0000, 0.0000], [0.2500, 0.2500, 0.2500], [0.7500, 0.7500, 0.7500], [0.5000, 0.5000, 0.5000]], "n_ef_per_ev_atom": 1.172, "de_polymorph_ev_per_fu": 3.16, "spacegroup": "No. 225"}

=====

Entry 8:
{"formula": "Co2AgW2", "functional": "PBE", "state": "relaxed", "lattice": [[7.2459, 0.0000, 0.0000], [0.0000, 7.2459, 0.0000], [0.0000, 0.0000, 2.7071]], "species": ["Co", "Co", "Co", "Co", "Ag", "Ag", "W", "W", "W", "W"], "fractional_positions": [[0.1266, 0.3734, 0.0000], [0.3734, 0.8734, 0.0000], [0.6266, 0.1266, 0.0000], [0.8734, 0.6266, 0.0000], [0.0000, 0.0000, 0.0000], [0.5000, 0.5000, 0.0000], [0.1654, 0.6654, 0.5000], [0.3346, 0.1654, 0.5000], [0.6654, 0.8346, 0.5000], [0.8346, 0.3346, 0.5000]], "n_ef_per_ev_atom": 0.685, "spacegroup": "No. 127", "formation_energy_ev_per_fu": 1.31}